Record 1
Entry from Alexandria via LeMat-Bulk: an optimized crystal structure of Sm4TePdSe2 (GGA-PBE).

Results
The value obtained for the total energy is -45.5 eV for the cell shown. The mass density is 7.6 g/cm3.

CIF file:
```
data_Sm4TePdSe2
_chemical_formula_sum 'Sm4 Te1 Pd1 Se2'
_cell_length_a 7.414
_cell_length_b 4.178
_cell_length_c 7.428
_cell_angle_alpha 90.00
_cell_angle_beta 108.87
_cell_angle_gamma 90.00
_symmetry_space_group_name_H-M 'P 1 2/m 1'
_symmetry_Int_Tables_number 10
loop_
_symmetry_equiv_pos_as_xyz
'x,y,z'
'-x,-y,-z'
'-x,y,-z'
'x,-y,z'
loop_
_atom_site_label
_atom_site_fract_x
_atom_site_fract_y
_atom_site_fract_z
_atom_site_occupancy
Sm1 0.235 0.000 0.247 1
Sm2 0.236 0.500 0.734 1
Te1 0.500 0.000 0.000 1
Pd1 0.000 0.500 0.000 1
Se1 0.000 0.000 0.500 1
Se2 0.500 0.500 0.500 1
```


Record 2
Entry from Alexandria via LeMat-Bulk: an optimized crystal structure of Sm2UPdSe5 (GGA-PBE).

Results
The value obtained for the total energy is -222.8 eV for the cell shown. The mass density is 7.9 g/cm3.

CIF file:
```
data_Sm2UPdSe5
_chemical_formula_sum 'Sm8 U4 Pd4 Se20'
_cell_length_a 4.013
_cell_length_b 17.299
_cell_length_c 12.577
_cell_angle_alpha 90.00
_cell_angle_beta 90.00
_cell_angle_gamma 90.00
_symmetry_space_group_name_H-M 'C m c 21'
_symmetry_Int_Tables_number 36
loop_
_symmetry_equiv_pos_as_xyz
'x,y,z'
'-x,-y,z+1/2'
'-x,y,z'
'x,-y,z+1/2'
'x+1/2,y+1/2,z'
'-x+1/2,-y+1/2,z+1/2'
'-x+1/2,y+1/2,z'
'x+1/2,-y+1/2,z+1/2'
loop_
_atom_site_label
_atom_site_fract_x
_atom_site_fract_y
_atom_site_fract_z
_atom_site_occupancy
Sm1 0.000 0.097 0.000 1
Sm2 0.000 0.121 0.341 1
U1 0.000 0.177 0.666 1
Pd1 0.000 0.443 0.064 1
Se1 0.000 0.015 0.673 1
Se2 0.000 0.303 0.000 1
Se3 0.000 0.305 0.329 1
Se4 0.000 0.344 0.663 1
Se5 0.000 0.497 0.382 1
```


Record 3
Entry from Alexandria via LeMat-Bulk: an optimized crystal structure of SnPd3Se (GGA-PBE).

Results
The energy above the most stable polymorph in this dataset is 20.293 kcal/mol of atoms. The mass density is 7.1 g/cm3.

CIF file:
```
data_SnPd3Se
_chemical_formula_sum 'Sn1 Pd3 Se1'
_cell_length_a 4.939
_cell_length_b 4.939
_cell_length_c 4.939
_cell_angle_alpha 90.00
_cell_angle_beta 90.00
_cell_angle_gamma 90.00
_symmetry_space_group_name_H-M 'P m -3 m'
_symmetry_Int_Tables_number 221
_symmetry_space_group_name_Hall '-P 4 2 3'
loop_
_atom_site_label
_atom_site_fract_x
_atom_site_fract_y
_atom_site_fract_z
_atom_site_occupancy
Sn1 0.000 0.000 0.000 1
Pd1 0.000 0.000 0.500 1
Se1 0.500 0.500 0.500 1
```


Record 4
Entry from Alexandria via LeMat-Bulk: an optimized crystal structure of SnPdSe3 (GGA-PBE).

Results
The value obtained for the total energy is -19.1 eV for the cell shown. The mass density is 6.2 g/cm3.

CIF file:
```
data_SnPdSe3
_chemical_formula_sum 'Sn1 Pd1 Se3'
_cell_length_a 4.986
_cell_length_b 4.986
_cell_length_c 4.986
_cell_angle_alpha 90.00
_cell_angle_beta 90.00
_cell_angle_gamma 90.00
_symmetry_space_group_name_H-M 'P m -3 m'
_symmetry_Int_Tables_number 221
_symmetry_space_group_name_Hall '-P 4 2 3'
loop_
_atom_site_label
_atom_site_fract_x
_atom_site_fract_y
_atom_site_fract_z
_atom_site_occupancy
Sn1 0.000 0.000 0.000 1
Pd1 0.500 0.500 0.500 1
Se1 0.000 0.500 0.500 1
```


Record 5
Entry from Alexandria via LeMat-Bulk: an optimized crystal structure of Sn2PdSe (GGA-PBE).

Results
The value obtained for the total energy is -69.9 eV for the cell shown. The mass density is 5.8 g/cm3.

CIF file:
```
data_Sn2PdSe
_chemical_formula_sum 'Sn8 Pd4 Se4'
_cell_length_a 6.435
_cell_length_b 6.435
_cell_length_c 11.754
_cell_angle_alpha 90.00
_cell_angle_beta 90.00
_cell_angle_gamma 90.00
_symmetry_space_group_name_H-M 'I -4 2 d'
_symmetry_Int_Tables_number 122
_symmetry_space_group_name_Hall 'I -4 2bw'
loop_
_atom_site_label
_atom_site_fract_x
_atom_site_fract_y
_atom_site_fract_z
_atom_site_occupancy
Sn1 0.220 0.250 0.125 1
Pd1 0.000 0.000 0.000 1
Se1 0.000 0.000 0.500 1
```


Record 6
Entry from Alexandria via LeMat-Bulk: an optimized crystal structure of SnPdSe (GGA-PBE).

Results
The value obtained for the total energy is -27.6 eV for the cell shown. The mass density is 7.4 g/cm3.

CIF file:
```
data_SnPdSe
_chemical_formula_sum 'Sn2 Pd2 Se2'
_cell_length_a 5.430
_cell_length_b 3.928
_cell_length_c 6.359
_cell_angle_alpha 90.00
_cell_angle_beta 90.13
_cell_angle_gamma 90.00
_symmetry_space_group_name_H-M 'P 1 2/m 1'
_symmetry_Int_Tables_number 10
loop_
_symmetry_equiv_pos_as_xyz
'x,y,z'
'-x,-y,-z'
'-x,y,-z'
'x,-y,z'
loop_
_atom_site_label
_atom_site_fract_x
_atom_site_fract_y
_atom_site_fract_z
_atom_site_occupancy
Sn1 0.239 0.000 0.250 1
Pd1 0.000 0.500 0.000 1
Pd2 0.000 0.500 0.500 1
Se1 0.352 0.500 0.750 1
```


Record 7
Entry from Alexandria via LeMat-Bulk: an optimized crystal structure of SnPdSe (GGA-PBE).

Results
The value obtained for the total energy is -55.1 eV for the cell shown. The mass density is 7.5 g/cm3.

CIF file:
```
data_SnPdSe
_chemical_formula_sum 'Sn4 Pd4 Se4'
_cell_length_a 6.454
_cell_length_b 6.454
_cell_length_c 6.454
_cell_angle_alpha 90.00
_cell_angle_beta 90.00
_cell_angle_gamma 90.00
_symmetry_space_group_name_H-M 'F -4 3 m'
_symmetry_Int_Tables_number 216
_symmetry_space_group_name_Hall 'F -4 2 3'
loop_
_atom_site_label
_atom_site_fract_x
_atom_site_fract_y
_atom_site_fract_z
_atom_site_occupancy
Sn1 0.000 0.000 0.000 1
Pd1 0.250 0.250 0.250 1
Se1 0.000 0.000 0.500 1
```


Record 8
Entry from Alexandria via LeMat-Bulk: an optimized crystal structure of SnPdSe (GGA-PBE).

Results
The value obtained for the total energy is -27.3 eV for the cell shown. The mass density is 7.4 g/cm3.

CIF file:
```
data_SnPdSe
_chemical_formula_sum 'Sn2 Pd2 Se2'
_cell_length_a 4.570
_cell_length_b 6.491
_cell_length_c 6.484
_cell_angle_alpha 90.00
_cell_angle_beta 134.69
_cell_angle_gamma 90.00
_symmetry_space_group_name_H-M 'P 1 c 1'
_symmetry_Int_Tables_number 7
loop_
_symmetry_equiv_pos_as_xyz
'x,y,z'
'x,-y,z+1/2'
loop_
_atom_site_label
_atom_site_fract_x
_atom_site_fract_y
_atom_site_fract_z
_atom_site_occupancy
Sn1 0.000 0.097 0.000 1
Pd1 0.297 0.268 0.514 1
Se1 0.596 0.390 0.303 1
```


Record 9
Entry from Alexandria via LeMat-Bulk: an optimized crystal structure of SnPdSe4 (GGA-PBE).

Results
The energy above the most stable polymorph in this dataset is 2.066 kcal/mol of atoms. The mass density is 6.1 g/cm3.

CIF file:
```
data_SnPdSe4
_chemical_formula_sum 'Sn2 Pd2 Se8'
_cell_length_a 6.509
_cell_length_b 6.463
_cell_length_c 7.022
_cell_angle_alpha 90.00
_cell_angle_beta 90.64
_cell_angle_gamma 90.00
_symmetry_space_group_name_H-M 'P 1 21/c 1'
_symmetry_Int_Tables_number 14
loop_
_symmetry_equiv_pos_as_xyz
'x,y,z'
'-x,-y,-z'
'-x,y+1/2,-z+1/2'
'x,-y+1/2,z+1/2'
loop_
_atom_site_label
_atom_site_fract_x
_atom_site_fract_y
_atom_site_fract_z
_atom_site_occupancy
Sn1 0.000 0.000 0.000 1
Pd1 0.500 0.000 0.500 1
Se1 0.135 0.076 0.602 1
Se2 0.433 0.624 0.614 1
```


Record 10
Entry from Alexandria via LeMat-Bulk: an optimized crystal structure of SnPd4Se8 (GGA-PBE).

Results
The value obtained for the total energy is -223.2 eV for the cell shown. The mass density is 6.0 g/cm3.

CIF file:
```
data_SnPd4Se8
_chemical_formula_sum 'Sn4 Pd16 Se32'
_cell_length_a 10.902
_cell_length_b 10.902
_cell_length_c 10.902
_cell_angle_alpha 90.00
_cell_angle_beta 90.00
_cell_angle_gamma 90.00
_symmetry_space_group_name_H-M 'F -4 3 m'
_symmetry_Int_Tables_number 216
_symmetry_space_group_name_Hall 'F -4 2 3'
loop_
_atom_site_label
_atom_site_fract_x
_atom_site_fract_y
_atom_site_fract_z
_atom_site_occupancy
Sn1 0.000 0.000 0.000 1
Pd1 0.120 0.120 0.380 1
Se1 0.113 0.113 0.613 1
Se2 0.143 0.143 0.143 1
```


Record 11
Entry from Alexandria via LeMat-Bulk: an optimized crystal structure of Sn3Pd7Se2 (GGA-PBE).

Results
The value obtained for the total energy is -117.0 eV for the cell shown. The mass density is 9.2 g/cm3.

CIF file:
```
data_Sn3Pd7Se2
_chemical_formula_sum 'Sn6 Pd14 Se4'
_cell_length_a 4.749
_cell_length_b 20.855
_cell_length_c 4.596
_cell_angle_alpha 90.00
_cell_angle_beta 90.00
_cell_angle_gamma 90.00
_symmetry_space_group_name_H-M 'C m m m'
_symmetry_Int_Tables_number 65
_symmetry_space_group_name_Hall '-C 2 2'
loop_
_atom_site_label
_atom_site_fract_x
_atom_site_fract_y
_atom_site_fract_z
_atom_site_occupancy
Sn1 0.000 0.000 0.000 1
Sn2 0.000 0.160 0.000 1
Pd1 0.000 0.075 0.500 1
Pd2 0.000 0.221 0.500 1
Pd3 0.000 0.420 0.000 1
Pd4 0.000 0.500 0.500 1
Se1 0.000 0.350 0.500 1
```


Record 12
Entry from Alexandria via LeMat-Bulk: an optimized crystal structure of SnPdSe4 (GGA-PBE).

Results
The energy above the most stable polymorph in this dataset is 0.000 kcal/mol of atoms. The mass density is 6.2 g/cm3.

CIF file:
```
data_SnPdSe4
_chemical_formula_sum 'Sn1 Pd1 Se4'
_cell_length_a 5.673
_cell_length_b 3.853
_cell_length_c 6.623
_cell_angle_alpha 90.00
_cell_angle_beta 93.03
_cell_angle_gamma 90.00
_symmetry_space_group_name_H-M 'P 1 2/m 1'
_symmetry_Int_Tables_number 10
loop_
_symmetry_equiv_pos_as_xyz
'x,y,z'
'-x,-y,-z'
'-x,y,-z'
'x,-y,z'
loop_
_atom_site_label
_atom_site_fract_x
_atom_site_fract_y
_atom_site_fract_z
_atom_site_occupancy
Sn1 0.000 0.000 0.000 1
Pd1 0.000 0.500 0.500 1
Se1 0.240 0.000 0.364 1
Se2 0.271 0.500 0.828 1
```


> Which formula does entry 10 have?

SnPd4Se8


Repeat the seventh record exactly.
Entry from Alexandria via LeMat-Bulk: an optimized crystal structure of SnPdSe (GGA-PBE).

Results
The value obtained for the total energy is -55.1 eV for the cell shown. The mass density is 7.5 g/cm3.

CIF file:
```
data_SnPdSe
_chemical_formula_sum 'Sn4 Pd4 Se4'
_cell_length_a 6.454
_cell_length_b 6.454
_cell_length_c 6.454
_cell_angle_alpha 90.00
_cell_angle_beta 90.00
_cell_angle_gamma 90.00
_symmetry_space_group_name_H-M 'F -4 3 m'
_symmetry_Int_Tables_number 216
_symmetry_space_group_name_Hall 'F -4 2 3'
loop_
_atom_site_label
_atom_site_fract_x
_atom_site_fract_y
_atom_site_fract_z
_atom_site_occupancy
Sn1 0.000 0.000 0.000 1
Pd1 0.250 0.250 0.250 1
Se1 0.000 0.000 0.500 1
```


> Which formula does entry 2 have?

Sm2UPdSe5